Record 1
Crystalline TiMoHPd2 at its relaxed geometry, computed with GGA-PBEsol.

abc: 4.5786 4.5786 4.5707
angles: 90.00 90.00 90.00
Last column: nearest neighbours and their distance in Å.
Sites, in units of the cell vectors:
Ti: 0.0000 0.0000 0.0000  2 Mo 2.29, 4 Pd 2.29
Mo: 0.0000 0.0000 0.5000  2 Ti 2.29
H: 0.5000 0.5000 0.5000  8 Pd 3.23, 4 Mo 3.24
Pd: 0.0000 0.5000 0.0000  2 Ti 2.29
Pd: 0.5000 0.0000 0.0000  2 Ti 2.29

Summary:
- total energy (eV per atom) = -5.416
- space-group type = P4/mmm

=====

Record 2
Crystalline Mo3HPt at its relaxed geometry, computed with GGA-PBEsol.

abc: 3.9596 3.9596 3.9596
angles: 90.00 90.00 90.00
Last column: nearest neighbours and their distance in Å.
Sites, in units of the cell vectors:
Mo: 0.0000 0.0000 0.5000  2 H 1.98
Mo: 0.0000 0.5000 0.0000  2 H 1.98
Mo: 0.5000 0.0000 0.0000  2 H 1.98
H: 0.0000 0.0000 0.0000  6 Mo 1.98
Pt: 0.5000 0.5000 0.5000  12 Mo 2.80

Summary:
- total energy (eV per atom) = -9.255
- space-group type = Pm-3m

=====

Q: Among the records above, which one has the highest total energy?
A: TiMoHPd2

=====

Q: What is the formula in the second record?
A: Mo3HPt